{"formula": "AlH3O3", "functional": "PBE", "state": "relaxed", "m_tot_mub_per_cell": 0.00, "polymorph_energy_ev_per_atom": 0.009, "sg": "P2_1/c", "n_ef_per_ev_cell": 0.00, "lattice": [[-3.7878, 6.9707, -3.7076], [-2.0366, -2.8770, -3.3284], [-4.4657, -1.2949, 2.1277]], "species": ["Al", "O", "H", "H", "Al", "O", "O", "O", "H", "O", "O", "O", "H", "O", "H", "H", "H", "O", "H", "H", "H", "H", "Al", "H", "O", "O", "Al", "O"], "fractional_positions": [[0.1656, 0.9707, 0.5490], [0.7992, 0.2596, 0.6956], [0.5445, 0.7926, 0.3666], [0.4555, 0.2074, 0.6334], [0.3344, 0.9707, 0.0490], [0.7008, 0.2596, 0.1956], [0.0194, 0.2203, 0.3183], [0.6697, 0.8253, 0.6694], [0.6837, 0.6192, 0.7190], [0.4806, 0.2203, 0.8183], [0.5194, 0.7797, 0.1817], [0.3303, 0.1747, 0.3306], [0.3806, 0.6149, 0.7701], [0.8303, 0.8253, 0.1694], [0.8806, 0.3851, 0.7299], [0.8163, 0.6192, 0.2190], [0.9555, 0.7926, 0.8666], [0.2992, 0.7404, 0.8044], [0.3163, 0.3808, 0.2810], [0.6194, 0.3851, 0.2299], [0.0445, 0.2074, 0.1334], [0.1837, 0.3808, 0.7810], [0.8344, 0.0293, 0.4510], [0.1194, 0.6149, 0.2701], [0.1697, 0.1747, 0.8306], [0.9806, 0.7797, 0.6817], [0.6656, 0.0293, 0.9510], [0.2008, 0.7404, 0.3044]]}